VASP calculation (PBE-GGA) on crystalline SO2 at its relaxed geometry.

Cell and atoms, written as CIF:
```
data_SO2
_chemical_formula_sum 'S1 O2'
_cell_length_a 4.2858
_cell_length_b 4.5092
_cell_length_c 4.5217
_cell_angle_alpha 71.93
_cell_angle_beta 61.72
_cell_angle_gamma 61.96
_symmetry_space_group_name_H-M 'P 1'
_symmetry_Int_Tables_number 1
_symmetry_space_group_name_Hall 'P 1'
loop_
_atom_site_label
_atom_site_type_symbol
_atom_site_fract_x
_atom_site_fract_y
_atom_site_fract_z
S1 S 0.0000 0.0000 0.0000
O1 O 0.3832 0.7873 0.7952
O2 O 0.9660 0.2056 0.2132
```

Results
**Fermi-level density of states**: 0.00 states/eV per cell
**Energy relative to the elements, uncorrected**: -1.0401 eV/atom
**Final energy**: -5.721 eV/atom